First-principles (PBE-GGA) data for an optimized crystal structure of Nd2YThS4, as listed in the Alexandria database. Values from VASP.

```
&SYSTEM
  ibrav = 0, nat = 8, ntyp = 4
/
ATOMIC_SPECIES
Nd 144.24 Nd.upf
Y 88.91 Y.upf
Th 232.04 Th.upf
S 32.06 S.upf
CELL_PARAMETERS angstrom
6.973 0.000 0.000
0.000 4.003 0.000
-2.305 0.000 6.612
ATOMIC_POSITIONS angstrom
Nd 0.000 0.000 0.000
Nd -1.152 2.002 3.306
Y 2.334 0.000 3.306
Th 3.487 2.002 0.000
S 0.064 0.000 4.931
S 1.220 2.002 1.712
S 3.449 2.002 4.900
S 4.605 0.000 1.681
```

=====

First-principles (PBE-GGA) data for an optimized crystal structure of Nd4Y3ThS8, as listed in the Alexandria database. Values from VASP.

```
&SYSTEM
  ibrav = 0, nat = 16, ntyp = 4
/
ATOMIC_SPECIES
Nd 144.24 Nd.upf
Y 88.91 Y.upf
Th 232.04 Th.upf
S 32.06 S.upf
CELL_PARAMETERS angstrom
4.006 2.313 6.571
-4.006 2.313 6.571
0.000 -4.626 6.571
ATOMIC_POSITIONS angstrom
Nd 0.000 0.000 0.000
Nd -2.003 -1.156 6.571
Nd -2.003 1.156 13.142
Nd 0.000 2.313 6.571
Y -4.006 0.000 9.856
Y -2.003 1.156 3.285
Y 2.003 1.156 3.286
Th 0.000 0.000 9.857
S -2.034 -1.174 11.428
S 0.000 0.000 4.831
S 0.000 -2.348 8.285
S -2.034 1.174 8.285
S 2.034 -1.174 11.428
S 0.000 2.348 11.428
S 0.000 0.000 14.882
S 2.034 1.174 8.285
```

=====

no.,ΔE_f (raw) (eV/atom)
1,-1.964
2,-1.985